A plane-wave DFT calculation with PBE was carried out for a relaxed structure of TiMoW6.

abc: 5.6132 5.6132 5.6132
angles: 110.34 110.34 110.34
Sites, in units of the cell vectors:
Ti  0.0000  0.0000  0.0000
Mo  0.5000  0.5000  0.5000
W  0.2505  0.7497  0.2505
W  0.2505  0.2505  0.7497
W  0.7495  0.2503  0.7495
W  0.2503  0.7495  0.7495
W  0.7495  0.7495  0.2503
W  0.7497  0.2505  0.2505

Properties
Energy of formation from the pure elements, eV per atom: 0.2370
Calculated total energy, Ha/atom: -0.4343
Symmetry: No. 166
Calculated volume, Å³/cell: 131.56
Energy above the lowest structure with this stoichiometry, eV per atom: 0.321